1.
{"formula": "TiV2C2", "functional": "PBE-GGA", "state": "optimized geometry", "dos_at_fermi_per_ev_cell": 2.49, "density_g_cm3": 5.15, "formation_energy_ev_per_atom": -0.617, "space_group": "Immm, No. 71", "de_polymorph_mev_per_atom": 0, "cell": [[-1.5055, 2.0161, 4.6123], [1.5055, -2.0161, 4.6123], [1.5055, 2.0161, -4.6123]], "species": ["Ti", "V", "V", "C", "C"], "frac_coords": [[0.0000, 0.0000, 0.0000], [0.3108, 0.3108, 0.0000], [0.6892, 0.6892, 0.0000], [0.1648, 0.6649, 0.5000], [0.8352, 0.3352, 0.5000]]}

2.
{"formula": "La7SnBr12", "functional": "PBE-GGA", "state": "optimized geometry", "raw_formation_energy_ev_per_atom": -1.69, "dos_at_fermi_per_ev_cell": 11.52, "density_g_cm3": 4.55, "space_group": "R-3, No. 148", "cell": [[7.9494, 4.5896, 3.4187], [-7.9494, 4.5896, 3.4187], [0.0000, -9.1792, 3.4187]], "species": ["La", "La", "La", "La", "La", "La", "La", "Sn", "Br", "Br", "Br", "Br", "Br", "Br", "Br", "Br", "Br", "Br", "Br", "Br"], "frac_coords": [[0.0000, 0.0000, 0.0000], [0.1534, 0.4550, 0.3752], [0.3752, 0.1534, 0.4550], [0.4550, 0.3752, 0.1534], [0.5450, 0.6248, 0.8466], [0.6248, 0.8466, 0.5450], [0.8466, 0.5450, 0.6248], [0.5000, 0.5000, 0.5000], [0.0230, 0.1067, 0.3373], [0.1067, 0.3373, 0.0230], [0.1956, 0.5783, 0.7238], [0.2762, 0.8044, 0.4217], [0.3373, 0.0230, 0.1067], [0.4217, 0.2762, 0.8044], [0.5783, 0.7238, 0.1956], [0.6627, 0.9770, 0.8933], [0.7238, 0.1956, 0.5783], [0.8044, 0.4217, 0.2762], [0.8933, 0.6627, 0.9770], [0.9770, 0.8933, 0.6627]]}

3.
{"formula": "Cr2InAs2", "functional": "PBE-GGA", "state": "optimized geometry", "dos_at_fermi_per_ev_cell": 7.44, "density_g_cm3": 7.53, "formation_energy_ev_per_atom": 0.167, "space_group": "P4/mbm, No. 127", "de_polymorph_mev_per_atom": 107, "cell": [[7.1656, 0.0000, 0.0000], [0.0000, 7.1656, 0.0000], [0.0000, 0.0000, 3.1681]], "species": ["Cr", "Cr", "Cr", "Cr", "In", "In", "As", "As", "As", "As"], "frac_coords": [[0.1372, 0.3628, 0.0000], [0.3628, 0.8628, 0.0000], [0.6372, 0.1372, 0.0000], [0.8628, 0.6372, 0.0000], [0.0000, 0.0000, 0.0000], [0.5000, 0.5000, 0.0000], [0.1482, 0.6482, 0.5000], [0.3518, 0.1482, 0.5000], [0.6482, 0.8518, 0.5000], [0.8518, 0.3518, 0.5000]]}

4.
{"formula": "CaCd2Pd2", "functional": "PBE-GGA", "state": "optimized geometry", "dos_at_fermi_per_ev_cell": 4.43, "density_g_cm3": 7.13, "formation_energy_ev_per_atom": -0.428, "space_group": "I4/mmm, No. 139", "de_polymorph_mev_per_atom": 45, "cell": [[-2.1401, 2.1401, 12.1412], [2.1401, -2.1401, 12.1412], [2.1401, 2.1401, -12.1412]], "species": ["Ca", "Ca", "Cd", "Cd", "Cd", "Cd", "Pd", "Pd", "Pd", "Pd"], "frac_coords": [[0.1273, 0.1273, 0.0000], [0.8727, 0.8727, 0.0000], [0.0000, 0.5000, 0.5000], [0.3184, 0.3184, 0.0000], [0.5000, 0.0000, 0.5000], [0.6816, 0.6816, 0.0000], [0.2500, 0.7500, 0.5000], [0.4276, 0.4276, 0.0000], [0.5724, 0.5724, 0.0000], [0.7500, 0.2500, 0.5000]]}

5.
{"formula": "PRh2W", "functional": "PBE-GGA", "state": "optimized geometry", "dos_at_fermi_per_ev_cell": 3.58, "density_g_cm3": 12.39, "formation_energy_ev_per_atom": -0.070, "space_group": "I4/mmm, No. 139", "cell": [[-1.8871, 1.8871, 3.9560], [1.8871, -1.8871, 3.9560], [1.8871, 1.8871, -3.9560]], "species": ["P", "Rh", "Rh", "W"], "frac_coords": [[0.0000, 0.0000, 0.0000], [0.2500, 0.7500, 0.5000], [0.7500, 0.2500, 0.5000], [0.5000, 0.5000, 0.0000]]}

6.
{"formula": "KDyCdS3", "functional": "PBE-GGA", "state": "optimized geometry", "raw_formation_energy_ev_per_atom": -1.39, "dos_at_fermi_per_ev_cell": 0.00, "density_g_cm3": 4.01, "space_group": "P2_1/m, No. 11", "cell": [[8.6110, 0.0000, 0.0000], [0.0000, 4.1254, 0.0000], [-3.0243, 0.0000, 9.5632]], "species": ["K", "K", "Dy", "Dy", "Cd", "Cd", "S", "S", "S", "S", "S", "S"], "frac_coords": [[0.2091, 0.2500, 0.2175], [0.7909, 0.7500, 0.7825], [0.3313, 0.7500, 0.8645], [0.6687, 0.2500, 0.1355], [0.0848, 0.2500, 0.6118], [0.9152, 0.7500, 0.3882], [0.1118, 0.2500, 0.8667], [0.2269, 0.7500, 0.5505], [0.4602, 0.7500, 0.1437], [0.5398, 0.2500, 0.8563], [0.7731, 0.2500, 0.4495], [0.8882, 0.7500, 0.1333]]}

7.
{"formula": "AlSbMo3", "functional": "PBE-GGA", "state": "optimized geometry", "raw_formation_energy_ev_per_atom": 1.89, "dos_at_fermi_per_ev_cell": 8.11, "density_g_cm3": 6.27, "space_group": "Pm-3m, No. 221", "de_polymorph_mev_per_atom": 571, "cell": [[4.8717, 0.0000, 0.0000], [0.0000, 4.8717, 0.0000], [0.0000, 0.0000, 4.8717]], "species": ["Al", "Sb", "Mo", "Mo", "Mo"], "frac_coords": [[0.0000, 0.0000, 0.0000], [0.5000, 0.5000, 0.5000], [0.0000, 0.5000, 0.5000], [0.5000, 0.0000, 0.5000], [0.5000, 0.5000, 0.0000]]}

8.
{"formula": "Nb4VSe8", "functional": "PBE-GGA", "state": "optimized geometry", "raw_formation_energy_ev_per_atom": -0.91, "dos_at_fermi_per_ev_cell": 10.77, "density_g_cm3": 6.45, "space_group": "P6_3/mmc, No. 194", "de_polymorph_mev_per_atom": 0, "cell": [[6.9821, 0.0000, 0.0000], [-3.4911, 6.0467, 0.0000], [0.0000, 0.0000, 12.8604]], "species": ["Nb", "Nb", "Nb", "Nb", "Nb", "Nb", "Nb", "Nb", "V", "V", "Se", "Se", "Se", "Se", "Se", "Se", "Se", "Se", "Se", "Se", "Se", "Se", "Se", "Se", "Se", "Se"], "frac_coords": [[0.0000, 0.0000, 0.2500], [0.0000, 0.0000, 0.7500], [0.0140, 0.5070, 0.2500], [0.4930, 0.5070, 0.2500], [0.4930, 0.9860, 0.2500], [0.5070, 0.0140, 0.7500], [0.5070, 0.4930, 0.7500], [0.9860, 0.4930, 0.7500], [0.0000, 0.0000, 0.0000], [0.0000, 0.0000, 0.5000], [0.1675, 0.3349, 0.6204], [0.1675, 0.3349, 0.8796], [0.1675, 0.8325, 0.6204], [0.1675, 0.8325, 0.8796], [0.3333, 0.6667, 0.1159], [0.3333, 0.6667, 0.3841], [0.3349, 0.1675, 0.1204], [0.3349, 0.1675, 0.3796], [0.6651, 0.8325, 0.6204], [0.6651, 0.8325, 0.8796], [0.6667, 0.3333, 0.6159], [0.6667, 0.3333, 0.8841], [0.8325, 0.1675, 0.1204], [0.8325, 0.1675, 0.3796], [0.8325, 0.6651, 0.1204], [0.8325, 0.6651, 0.3796]]}

9.
{"formula": "Sr2PrO4", "functional": "PBE-GGA", "state": "optimized geometry", "raw_formation_energy_ev_per_atom": -2.67, "dos_at_fermi_per_ev_cell": 6.13, "density_g_cm3": 5.19, "space_group": "Pbam, No. 55", "cell": [[6.2772, 0.0000, 0.0000], [0.0000, 10.4067, 0.0000], [0.0000, 0.0000, 3.7268]], "species": ["Sr", "Sr", "Sr", "Sr", "Pr", "Pr", "O", "O", "O", "O", "O", "O", "O", "O"], "frac_coords": [[0.0640, 0.1770, 0.0000], [0.4360, 0.6770, 0.0000], [0.5640, 0.3230, 0.0000], [0.9360, 0.8230, 0.0000], [0.0000, 0.5000, 0.5000], [0.5000, 0.0000, 0.5000], [0.1514, 0.7055, 0.5000], [0.2369, 0.4563, 0.0000], [0.2631, 0.9563, 0.0000], [0.3486, 0.2055, 0.5000], [0.6514, 0.7945, 0.5000], [0.7369, 0.0437, 0.0000], [0.7631, 0.5437, 0.0000], [0.8486, 0.2945, 0.5000]]}

10.
{"formula": "Fe3C5", "functional": "PBE-GGA", "state": "optimized geometry", "dos_at_fermi_per_ev_cell": 4.58, "density_g_cm3": 5.46, "formation_energy_ev_per_atom": 0.857, "space_group": "P4/mmm, No. 123", "de_polymorph_mev_per_atom": 0, "cell": [[2.7371, 0.0000, 0.0000], [0.0000, 2.7371, 0.0000], [0.0000, 0.0000, 9.2451]], "species": ["Fe", "Fe", "Fe", "C", "C", "C", "C", "C"], "frac_coords": [[0.0000, 0.0000, 0.0000], [0.5000, 0.5000, 0.2747], [0.5000, 0.5000, 0.7253], [0.0000, 0.0000, 0.3552], [0.0000, 0.0000, 0.5000], [0.0000, 0.0000, 0.6448], [0.5000, 0.5000, 0.0772], [0.5000, 0.5000, 0.9228]]}

11.
{"formula": "Ho2AsI3", "functional": "PBE-GGA", "state": "optimized geometry", "raw_formation_energy_ev_per_atom": -1.28, "density_g_cm3": 5.14, "space_group": "C2/m, No. 12", "cell": [[10.7855, -2.1506, 0.0000], [10.7855, 2.1506, 0.0000], [-9.9898, 0.0000, 10.9468]], "species": ["Ho", "Ho", "Ho", "Ho", "As", "As", "I", "I", "I", "I", "I", "I"], "frac_coords": [[0.0862, 0.0862, 0.4767], [0.3660, 0.3660, 0.1823], [0.6340, 0.6340, 0.8177], [0.9138, 0.9138, 0.5233], [0.0892, 0.0892, 0.6680], [0.9108, 0.9108, 0.3320], [0.1725, 0.1725, 0.0139], [0.2767, 0.2767, 0.3809], [0.4569, 0.4569, 0.7232], [0.5431, 0.5431, 0.2768], [0.7233, 0.7233, 0.6191], [0.8275, 0.8275, 0.9861]]}

12.
{"formula": "BaMg2Sb", "functional": "PBE-GGA", "state": "optimized geometry", "raw_formation_energy_ev_per_atom": -0.23, "dos_at_fermi_per_ev_cell": 1.76, "density_g_cm3": 4.06, "space_group": "I-4m2, No. 119", "cell": [[-2.8093, 2.8093, 3.9912], [2.8093, -2.8093, 3.9912], [2.8093, 2.8093, -3.9912]], "species": ["Ba", "Mg", "Mg", "Sb"], "frac_coords": [[0.0000, 0.0000, 0.0000], [0.2500, 0.7500, 0.5000], [0.5000, 0.5000, 0.0000], [0.7500, 0.2500, 0.5000]]}

13.
{"formula": "Er8Te2Ir3", "functional": "PBE-GGA", "state": "optimized geometry", "raw_formation_energy_ev_per_atom": -0.78, "dos_at_fermi_per_ev_cell": 7.38, "density_g_cm3": 10.37, "space_group": "Cmmm, No. 65", "cell": [[4.8070, -7.5693, 0.0000], [4.8070, 7.5693, 0.0000], [0.0000, 0.0000, 4.7762]], "species": ["Er", "Er", "Er", "Er", "Er", "Er", "Er", "Er", "Te", "Te", "Ir", "Ir", "Ir"], "frac_coords": [[0.1052, 0.8948, 0.0000], [0.1449, 0.3616, 0.5000], [0.3616, 0.1449, 0.5000], [0.3880, 0.6120, 0.0000], [0.6120, 0.3880, 0.0000], [0.6384, 0.8551, 0.5000], [0.8551, 0.6384, 0.5000], [0.8948, 0.1052, 0.0000], [0.2431, 0.7569, 0.5000], [0.7569, 0.2431, 0.5000], [0.2519, 0.2519, 0.0000], [0.5000, 0.5000, 0.5000], [0.7481, 0.7481, 0.0000]]}

14.
{"formula": "Cs2GeSb", "functional": "PBE-GGA", "state": "optimized geometry", "raw_formation_energy_ev_per_atom": -0.09, "dos_at_fermi_per_ev_cell": 3.38, "density_g_cm3": 3.37, "space_group": "P3m1, No. 156", "de_polymorph_mev_per_atom": 213, "cell": [[6.3329, 0.0000, 0.0000], [-3.1664, 5.4844, 0.0000], [0.0000, 0.0000, 6.5366]], "species": ["Cs", "Cs", "Ge", "Sb"], "frac_coords": [[0.0000, 0.0000, 0.0000], [0.3333, 0.6667, 0.4924], [0.6667, 0.3333, 0.1705], [0.6667, 0.3333, 0.7852]]}

15.
{"formula": "LaYW3", "functional": "PBE-GGA", "state": "optimized geometry", "dos_at_fermi_per_ev_cell": 8.76, "density_g_cm3": 10.87, "formation_energy_ev_per_atom": 2.282, "space_group": "Pm-3m, No. 221", "de_polymorph_mev_per_atom": 0, "cell": [[4.9194, 0.0000, 0.0000], [0.0000, 4.9194, 0.0000], [0.0000, 0.0000, 4.9194]], "species": ["La", "Y", "W", "W", "W"], "frac_coords": [[0.0000, 0.0000, 0.0000], [0.5000, 0.5000, 0.5000], [0.0000, 0.0000, 0.5000], [0.0000, 0.5000, 0.0000], [0.5000, 0.0000, 0.0000]]}

16.
{"formula": "Ce2Pr3HoP6", "functional": "PBE-GGA", "state": "optimized geometry", "dos_at_fermi_per_ev_cell": 9.95, "density_g_cm3": 5.88, "formation_energy_ev_per_atom": -1.531, "space_group": "C2/m, No. 12", "cell": [[3.5693, -6.1825, 0.0000], [3.5693, 6.1825, 0.0000], [-2.3795, 0.0000, 6.7477]], "species": ["Ce", "Ce", "Pr", "Pr", "Pr", "Ho", "P", "P", "P", "P", "P", "P"], "frac_coords": [[0.1666, 0.8334, 0.0000], [0.8334, 0.1666, 0.0000], [0.0000, 0.0000, 0.5000], [0.3332, 0.6668, 0.5000], [0.6668, 0.3332, 0.5000], [0.5000, 0.5000, 0.0000], [0.0881, 0.4208, 0.7624], [0.2470, 0.2470, 0.2388], [0.4208, 0.0881, 0.7624], [0.5792, 0.9119, 0.2376], [0.7530, 0.7530, 0.7612], [0.9119, 0.5792, 0.2376]]}

17.
{"formula": "MnTl2In2S4", "functional": "PBE-GGA", "state": "optimized geometry", "raw_formation_energy_ev_per_atom": -0.41, "dos_at_fermi_per_ev_cell": 3.05, "density_g_cm3": 5.91, "space_group": "C2/m, No. 12", "cell": [[8.1790, -1.8958, 0.0000], [8.1790, 1.8958, 0.0000], [-4.1237, 0.0000, 7.4458]], "species": ["Mn", "Tl", "Tl", "In", "In", "S", "S", "S", "S"], "frac_coords": [[0.0000, 0.0000, 0.0000], [0.1127, 0.1127, 0.7229], [0.8873, 0.8873, 0.2771], [0.3084, 0.3084, 0.6589], [0.6916, 0.6916, 0.3411], [0.1709, 0.1709, 0.1128], [0.4850, 0.4850, 0.7795], [0.5150, 0.5150, 0.2205], [0.8291, 0.8291, 0.8872]]}

18.
{"formula": "PmHfSc", "functional": "PBE-GGA", "state": "optimized geometry", "dos_at_fermi_per_ev_cell": 3.30, "density_g_cm3": 7.78, "formation_energy_ev_per_atom": 0.134, "space_group": "P3m1, No. 156", "de_polymorph_mev_per_atom": 21, "cell": [[3.3280, 0.0000, 0.0000], [-1.6640, 2.8821, 0.0000], [0.0000, 0.0000, 8.1973]], "species": ["Pm", "Hf", "Sc"], "frac_coords": [[0.0000, 0.0000, 0.0000], [0.6667, 0.3333, 0.3307], [0.3333, 0.6667, 0.6331]]}

19.
{"formula": "SrPmSi2O6", "functional": "PBE-GGA", "state": "optimized geometry", "raw_formation_energy_ev_per_atom": -2.78, "dos_at_fermi_per_ev_cell": 1.62, "density_g_cm3": 4.37, "space_group": "C2/c, No. 15", "cell": [[5.1394, -4.8545, 0.0000], [5.1394, 4.8545, 0.0000], [-2.1242, 0.0000, 5.8642]], "species": ["Sr", "Sr", "Pm", "Pm", "Si", "Si", "Si", "Si", "O", "O", "O", "O", "O", "O", "O", "O", "O", "O", "O", "O"], "frac_coords": [[0.1859, 0.8141, 0.7500], [0.8141, 0.1859, 0.2500], [0.3886, 0.6114, 0.2500], [0.6114, 0.3886, 0.7500], [0.1393, 0.2850, 0.7510], [0.2850, 0.1393, 0.2510], [0.7150, 0.8607, 0.7490], [0.8607, 0.7150, 0.2490], [0.0876, 0.6446, 0.3255], [0.1591, 0.1835, 0.9866], [0.1835, 0.1591, 0.4866], [0.2917, 0.4763, 0.8498], [0.3554, 0.9124, 0.1745], [0.4763, 0.2917, 0.3498], [0.5237, 0.7083, 0.6502], [0.6446, 0.0876, 0.8255], [0.7083, 0.5237, 0.1502], [0.8165, 0.8409, 0.5134], [0.8409, 0.8165, 0.0134], [0.9124, 0.3554, 0.6745]]}

20.
{"formula": "ZrNiTeRh2", "functional": "PBE-GGA", "state": "optimized geometry", "raw_formation_energy_ev_per_atom": 1.03, "dos_at_fermi_per_ev_cell": 8.58, "density_g_cm3": 6.66, "space_group": "P4/mmm, No. 123", "cell": [[4.7791, 0.0000, 0.0000], [0.0000, 4.7791, 0.0000], [0.0000, 0.0000, 5.2754]], "species": ["Zr", "Ni", "Te", "Rh", "Rh"], "frac_coords": [[0.0000, 0.0000, 0.0000], [0.5000, 0.5000, 0.0000], [0.0000, 0.0000, 0.5000], [0.0000, 0.5000, 0.5000], [0.5000, 0.0000, 0.5000]]}

21.
{"formula": "Nd2HoPO8", "functional": "PBE-GGA", "state": "optimized geometry", "raw_formation_energy_ev_per_atom": -2.37, "dos_at_fermi_per_ev_cell": 4.23, "density_g_cm3": 6.89, "space_group": "P-3m1, No. 164", "cell": [[5.2522, 0.0000, 0.0000], [-2.6261, 4.5486, 0.0000], [0.0000, 0.0000, 6.1801]], "species": ["Nd", "Nd", "Ho", "P", "O", "O", "O", "O", "O", "O", "O", "O"], "frac_coords": [[0.3333, 0.6667, 0.3622], [0.6667, 0.3333, 0.6378], [0.0000, 0.0000, 0.0000], [0.0000, 0.0000, 0.5000], [0.1517, 0.3033, 0.6650], [0.1517, 0.8483, 0.6650], [0.3033, 0.1517, 0.3350], [0.3333, 0.6667, 0.0170], [0.6667, 0.3333, 0.9830], [0.6967, 0.8483, 0.6650], [0.8483, 0.1517, 0.3350], [0.8483, 0.6967, 0.3350]]}

22.
{"formula": "Sr2In3Bi3", "functional": "PBE-GGA", "state": "optimized geometry", "dos_at_fermi_per_ev_cell": 1.90, "density_g_cm3": 7.64, "formation_energy_ev_per_atom": -0.424, "space_group": "Pmmm, No. 47", "cell": [[4.9326, 0.0000, 0.0000], [0.0000, 5.0632, 0.0000], [0.0000, 0.0000, 9.9812]], "species": ["Sr", "Sr", "In", "In", "In", "Bi", "Bi", "Bi"], "frac_coords": [[0.0000, 0.0000, 0.2477], [0.0000, 0.0000, 0.7523], [0.0000, 0.5000, 0.5000], [0.5000, 0.5000, 0.2624], [0.5000, 0.5000, 0.7376], [0.0000, 0.5000, 0.0000], [0.5000, 0.0000, 0.0000], [0.5000, 0.0000, 0.5000]]}